DFT (PBE-GGA) results for a relaxed PtS2O8F crystal.

## Properties
SG: C2/m
Volume, Å³ per atom: 13.18
Calculated density, g cm⁻³: 4.26
Raw formation energy, meV per atom: -763

abc: 4.7995 4.7995 7.6375
angles: 81.75 81.75 65.84
With the nearest neighbours (Å) after each atom.
Sites, in units of the cell vectors:
Pt (0.0000, 0.0000, 0.0000)  6 O 2.04
S (0.6148, 0.6148, 0.2068)  4 O 1.42-1.54
S (0.3852, 0.3852, 0.7932)  4 O 1.42-1.54
O (0.7329, 0.2671, 0.8054)  1 S 1.54
O (0.7439, 0.7439, 0.0352)  1 S 1.53
O (0.6772, 0.6772, 0.3694)  1 S 1.42
O (0.3228, 0.3228, 0.6306)  1 S 1.42
O (0.2561, 0.2561, 0.9648)  1 S 1.53
O (0.2671, 0.7329, 0.8054)  1 S 1.54
O (0.7329, 0.2671, 0.1946)  1 S 1.54
O (0.2671, 0.7329, 0.1946)  1 S 1.54
F (0.0000, 0.0000, 0.5000)  6 O 2.72-2.94